No. 1
VASP calculation (PBE-GGA) on NdDy2TmP4 after structural relaxation.

abc: 6.9850 4.0363 6.9875
angles: 90.00 109.46 90.00
Closest atoms and distances in Å follow each position.
Fractional coordinates of all 8 atoms:
Nd1 0.0000 0.0000 0.0000  6 P 2.89
Dy1 0.0000 0.5000 0.5000  6 P 2.87
Dy2 0.5000 0.0000 0.5000  6 P 2.82
Tm1 0.5000 0.5000 0.0000  6 P 2.84
P1 0.2557 0.0000 0.7493  3 Dy 2.82-2.87, 2 Tm 2.84, 1 Nd 2.89
P2 0.2577 0.5000 0.2553  3 Dy 2.82-2.87, 1 Tm 2.84, 2 Nd 2.89
P3 0.7423 0.5000 0.7447  3 Dy 2.82-2.87, 1 Tm 2.84, 2 Nd 2.89
P4 0.7443 0.0000 0.2507  3 Dy 2.82-2.87, 2 Tm 2.84, 1 Nd 2.89

Summary:
Energy of formation from the pure elements, eV per atom: -1.5800

No. 2
VASP calculation (PBE-GGA) on Rb4ClO after structural relaxation.

abc: 7.5655 4.3989 7.5855
angles: 90.00 91.07 90.00
Closest atoms and distances in Å follow each position.
Fractional coordinates of all 6 atoms:
Rb1 0.1722 0.0000 0.3298  2 O 2.87
Rb2 0.2649 0.5000 0.7662  1 O 2.82
Rb3 0.7351 0.5000 0.2338  1 O 2.82
Rb4 0.8278 0.0000 0.6702  2 O 2.87
Cl1 0.5000 0.0000 0.0000  6 Rb 3.32-3.56
O1 0.0000 0.5000 0.5000  6 Rb 2.82-2.87

Summary:
Uncorrected formation energy, meV/atom: -1063
ΔE to the lowest computed polymorph, eV/f.u.: 0.20

Number 1: total magnetic moment 0.0 μB/f.u.. Number 2: total magnetic moment 0.0 μB/f.u..